[1]
First-principles (PBE) data for a relaxed SmTl2AsSe4 crystal, as listed in the Alexandria database.

a = 8.600 Å, b = 8.660 Å, c = 12.236 Å
α = 90.00°, β = 90.00°, γ = 90.00°
Space group Imma (No. 74)
Unique sites:
Sm (0.000, 0.000, 0.000) [4 per cell]
Tl (0.000, 0.000, 0.500) [4 per cell]
Tl (0.250, 0.250, 0.250) [4 per cell]
As (0.250, 0.250, 0.750) [4 per cell]
Se (0.000, 0.039, 0.759) [8 per cell]
Se (0.229, 0.250, 0.978) [8 per cell]

Summary:
Formation energy (no corrections) (eV/atom): -0.740
E_tot (eV per atom): -4.24

---

[2]
First-principles (PBE) data for a relaxed SmTmAsSe crystal, as listed in the Alexandria database.

a = 4.0464 Å, b = 4.0464 Å, c = 21.2824 Å
α = 90.00°, β = 90.00°, γ = 120.00°
Space group R3m (No. 160, hexagonal axes)
Unique sites:
Sm (0.0000, 0.0000, 0.0000) [3 per cell]
Tm (0.0000, 0.0000, 0.1795) [3 per cell]
As (0.0000, 0.0000, 0.5846) [3 per cell]
Se (0.0000, 0.0000, 0.7610) [3 per cell]

Summary:
Formation energy (no corrections) (eV/atom): -1.633
E_tot (eV per atom): -5.96